A geometry-optimized CaCu2AsPd4 structure. Source: Alexandria via LeMat-Bulk, functional PBE.

Its space-group type is R-3m, No. 166. The value obtained for the density of states at the Fermi level is 0.624 states/eV/atom. The energy of formation from the pure elements comes out at -2.578 eV per formula unit.

The structure in POSCAR format:
```
CaCu2AsPd4
1.0
2.243 1.295 7.361
-2.243 1.295 7.361
0.000 -2.590 7.361
Ca Cu As Pd
1 2 1 4
Cartesian
0.000 0.000 0.000
0.000 0.000 5.699
0.000 0.000 16.384
0.000 0.000 11.041
0.000 0.000 2.956
0.000 0.000 8.604
0.000 0.000 13.478
0.000 0.000 19.127
```



A geometry-optimized Ca3Cu2AsPd9 structure. Source: Alexandria via LeMat-Bulk, functional PBE.

Its space-group type is P-3m1, No. 164. The value obtained for the density of states at the Fermi level is 0.344 states/eV/atom. The energy of formation from the pure elements comes out at -3.612 eV per formula unit.

The structure in POSCAR format:
```
Ca3Cu2AsPd9
1.0
7.538 0.000 0.000
-3.769 6.528 0.000
0.000 0.000 6.223
Ca Cu As Pd
3 2 1 9
Cartesian
0.000 0.000 0.000
0.000 4.352 4.168
3.769 2.176 2.055
0.000 4.352 1.085
3.769 2.176 5.138
0.000 0.000 3.112
-1.884 3.264 0.000
0.000 2.117 2.015
-1.936 5.470 2.015
1.833 1.059 4.209
3.769 0.000 0.000
1.884 3.264 0.000
1.936 5.470 2.015
5.705 1.059 4.209
3.769 4.411 4.209
```



Copy entry 2 word for word.
A geometry-optimized Ca3Cu2AsPd9 structure. Source: Alexandria via LeMat-Bulk, functional PBE.

Its space-group type is P-3m1, No. 164. The value obtained for the density of states at the Fermi level is 0.344 states/eV/atom. The energy of formation from the pure elements comes out at -3.612 eV per formula unit.

The structure in POSCAR format:
```
Ca3Cu2AsPd9
1.0
7.538 0.000 0.000
-3.769 6.528 0.000
0.000 0.000 6.223
Ca Cu As Pd
3 2 1 9
Cartesian
0.000 0.000 0.000
0.000 4.352 4.168
3.769 2.176 2.055
0.000 4.352 1.085
3.769 2.176 5.138
0.000 0.000 3.112
-1.884 3.264 0.000
0.000 2.117 2.015
-1.936 5.470 2.015
1.833 1.059 4.209
3.769 0.000 0.000
1.884 3.264 0.000
1.936 5.470 2.015
5.705 1.059 4.209
3.769 4.411 4.209
```